Below is a relaxed structure of Ac6Hg3Ir2Pt, with properties calculated at the PBE-GGA level.

Values from the calculation:
- SG: C2/m, No. 12
- E_form: -694 meV/atom

Cell lengths 7.5794, 7.5794, 8.5312 Å; angles 98.50, 98.50, 119.90 degrees
Atoms (fractional coordinates):
Ac: 0.0913 0.4321 0.7964
Ac: 0.2261 0.2261 0.2012
Ac: 0.4321 0.0913 0.7964
Ac: 0.5679 0.9087 0.2036
Ac: 0.7739 0.7739 0.7988
Ac: 0.9087 0.5679 0.2036
Hg: 0.0000 0.0000 0.5000
Hg: 0.3380 0.6620 0.5000
Hg: 0.6620 0.3380 0.5000
Ir: 0.1672 0.8328 0.0000
Ir: 0.8328 0.1672 0.0000
Pt: 0.5000 0.5000 0.0000

=====

Below is a relaxed structure of Na2PbF6, with properties calculated at the PBE-GGA level.

Values from the calculation:
- Energy relative to the elements, uncorrected: -2369 meV/atom
- SG: P2_1/c, No. 14

Cell lengths 5.9433, 5.6086, 10.7538 Å; angles 90.00, 120.59, 90.00 degrees
Atoms (fractional coordinates):
Na: 0.1869 0.0135 0.1968
Na: 0.1869 0.4865 0.6968
Na: 0.8131 0.5135 0.3032
Na: 0.8131 0.9865 0.8032
Pb: 0.5000 0.0000 0.0000
Pb: 0.5000 0.5000 0.5000
F: 0.1911 0.1863 0.9958
F: 0.1911 0.3137 0.4958
F: 0.1976 0.7207 0.3447
F: 0.1976 0.7793 0.8447
F: 0.4898 0.2029 0.8320
F: 0.4898 0.2971 0.3320
F: 0.5102 0.7029 0.6680
F: 0.5102 0.7971 0.1680
F: 0.8024 0.2207 0.1553
F: 0.8024 0.2793 0.6553
F: 0.8089 0.6863 0.5042
F: 0.8089 0.8137 0.0042

=====

Below is a relaxed structure of Li3CaGa, with properties calculated at the PBE-GGA level.

Values from the calculation:
- SG: C2/c, No. 15
- E_form: -145 meV/atom
- Distance to the lowest polymorph of the same formula: 4 meV per atom

Cell lengths 8.5733, 8.5733, 6.5315 Å; angles 100.62, 100.62, 73.53 degrees
Atoms (fractional coordinates):
Li: 0.0116 0.3488 0.0712
Li: 0.0216 0.3677 0.6065
Li: 0.2974 0.3062 0.3947
Li: 0.3062 0.2974 0.8947
Li: 0.3488 0.0116 0.5712
Li: 0.3677 0.0216 0.1065
Li: 0.6323 0.9784 0.8935
Li: 0.6512 0.9884 0.4288
Li: 0.6938 0.7026 0.1053
Li: 0.7026 0.6938 0.6053
Li: 0.9784 0.6323 0.3935
Li: 0.9884 0.6512 0.9288
Ca: 0.0633 0.9367 0.7500
Ca: 0.3615 0.6385 0.2500
Ca: 0.6385 0.3615 0.7500
Ca: 0.9367 0.0633 0.2500
Ga: 0.2477 0.5631 0.6965
Ga: 0.4369 0.7523 0.8035
Ga: 0.5631 0.2477 0.1965
Ga: 0.7523 0.4369 0.3035

=====

Below is a relaxed structure of Nd5Dy3Y3, with properties calculated at the PBE-GGA level.

Values from the calculation:
- SG: P-62m, No. 189
- E_form: 780 meV/atom
- Distance to the lowest polymorph of the same formula: 456 meV per atom

Cell lengths 9.7653, 9.7653, 5.6096 Å; angles 90.00, 90.00, 120.00 degrees
Atoms (fractional coordinates):
Nd: 0.0000 0.7290 0.0000
Nd: 0.2710 0.2710 0.0000
Nd: 0.3333 0.6667 0.0000
Nd: 0.6667 0.3333 0.0000
Nd: 0.7290 0.0000 0.0000
Dy: 0.0000 0.3634 0.0000
Dy: 0.3634 0.0000 0.0000
Dy: 0.6366 0.6366 0.0000
Y: 0.0000 0.5378 0.5000
Y: 0.4622 0.4622 0.5000
Y: 0.5378 0.0000 0.5000

=====

Below is a relaxed structure of CoSi2Rh, with properties calculated at the PBE-GGA level.

Values from the calculation:
- Energy relative to the elements, uncorrected: -407 meV/atom
- SG: I-4m2, No. 119
- Distance to the lowest polymorph of the same formula: 179 meV per atom

Cell lengths 4.7376, 4.7376, 4.7376 Å; angles 137.14, 137.14, 62.22 degrees
Atoms (fractional coordinates):
Co: 0.0000 0.0000 0.0000
Si: 0.5000 0.5000 0.0000
Si: 0.7500 0.2500 0.5000
Rh: 0.2500 0.7500 0.5000

=====

Below is a relaxed structure of Ac12Sn5Pb2, with properties calculated at the PBE-GGA level.

Values from the calculation:
- SG: C2/m, No. 12
- E_form: -344 meV/atom

Cell lengths 10.2793, 10.2793, 11.1482 Å; angles 103.02, 103.02, 45.09 degrees
Atoms (fractional coordinates):
Ac: 0.0136 0.0136 0.2433
Ac: 0.0579 0.5805 0.9055
Ac: 0.0918 0.6197 0.4484
Ac: 0.3803 0.9082 0.5516
Ac: 0.4137 0.4137 0.1983
Ac: 0.4195 0.9421 0.0945
Ac: 0.5805 0.0579 0.9055
Ac: 0.5863 0.5863 0.8017
Ac: 0.6197 0.0918 0.4484
Ac: 0.9082 0.3803 0.5516
Ac: 0.9421 0.4195 0.0945
Ac: 0.9864 0.9864 0.7567
Sn: 0.1674 0.1674 0.8171
Sn: 0.2096 0.2096 0.3511
Sn: 0.5000 0.5000 0.5000
Sn: 0.7904 0.7904 0.6489
Sn: 0.8326 0.8326 0.1829
Pb: 0.2844 0.7156 0.0000
Pb: 0.7156 0.2844 0.0000

=====

Below is a relaxed structure of PmNd5N4, with properties calculated at the PBE-GGA level.

Values from the calculation:
- Energy relative to the elements, uncorrected: -1084 meV/atom
- SG: C2/m, No. 12

Cell lengths 8.1584, 8.1584, 7.4904 Å; angles 102.64, 102.64, 25.65 degrees
Atoms (fractional coordinates):
Pm: 0.0000 0.0000 0.0000
Nd: 0.0000 0.0000 0.5000
Nd: 0.3358 0.3358 0.1502
Nd: 0.3413 0.3413 0.6952
Nd: 0.6587 0.6587 0.3048
Nd: 0.6642 0.6642 0.8498
N: 0.1661 0.1661 0.0827
N: 0.4982 0.4982 0.7504
N: 0.5018 0.5018 0.2496
N: 0.8339 0.8339 0.9173

=====

Below is a relaxed structure of RePBr3, with properties calculated at the PBE-GGA level.

Values from the calculation:
- Energy relative to the elements, uncorrected: 1193 meV/atom
- SG: Pm-3m, No. 221
- Distance to the lowest polymorph of the same formula: 126 meV per atom

Cell lengths 5.2142, 5.2142, 5.2142 Å; angles 90.00, 90.00, 90.00 degrees
Atoms (fractional coordinates):
Re: 0.0000 0.0000 0.0000
P: 0.5000 0.5000 0.5000
Br: 0.0000 0.5000 0.5000
Br: 0.5000 0.0000 0.5000
Br: 0.5000 0.5000 0.0000